A geometry-optimized FeMo3Ir structure. Source: Alexandria via LeMat-Bulk, functional PBE-GGA.

```
FeMo3Ir
1.0
-2.2899 -2.6448 -2.6378
3.6866 -2.0987 -1.0961
-0.6019 -2.7923 3.3223
Mo Ir Fe
3 1 1
direct
0.0000 0.5000 0.0000
0.0000 0.0000 0.5000
0.5000 0.0000 0.0000
0.5000 0.5000 0.5000
0.0000 0.0000 0.0000
```

Output
polymorph energy (0 for the lowest one)	0	meV per atom
E_tot	-44.3	eV/cell
ΔH_f (0 K)	1.10	eV per atom
crystal system	cubic


A geometry-optimized Y2NbPd2 structure. Source: Alexandria via LeMat-Bulk, functional PBE-GGA.

```
Y2NbPd2
1.0
8.1747 0.0000 0.0000
0.0000 8.1747 0.0000
0.0000 0.0000 3.2612
Y Nb Pd
4 2 4
direct
0.3460 0.8460 0.0000
0.8460 0.6540 0.0000
0.6540 0.1540 0.0000
0.1540 0.3460 0.0000
0.0000 0.0000 0.0000
0.5000 0.5000 0.0000
0.1451 0.6451 0.5000
0.6451 0.8549 0.5000
0.8549 0.3549 0.5000
0.3549 0.1451 0.5000
```

Output
polymorph energy (0 for the lowest one)	265	meV per atom
E_tot	-68.3	eV/cell
ΔH_f (0 K)	-0.16	eV per atom
crystal system	tetragonal